No. 1
VASP calculation (PBE-GGA) on crystalline Dy6Ho4Er at its relaxed geometry.

Structure (POSCAR):
```
Dy6Ho4Er
1.0
6.497 0.000 0.000
0.000 6.497 0.000
-3.248 -3.248 8.491
Ho Dy Er
4 6 1
direct
0.048 0.689 0.736 Ho
0.952 0.952 0.264 Ho
0.689 0.048 0.736 Ho
0.311 0.311 0.264 Ho
0.140 0.140 0.653 Dy
0.487 0.860 0.347 Dy
0.513 0.513 0.653 Dy
0.000 0.500 0.000 Dy
0.500 0.000 0.000 Dy
0.860 0.487 0.347 Dy
0.500 0.500 0.000 Er
```

Offset from the most stable computed form (meV per atom): 176.2
E (Ha/atom): -0.1574
Formation energy from the elements (meV per atom): 307
Space group: I-42m

No. 2
VASP calculation (PBE-GGA) on crystalline NaAc2Os3O12 at its relaxed geometry.

Structure (POSCAR):
```
NaAc2Os3O12
1.0
6.775 -0.250 -0.177
3.128 6.014 -0.177
3.128 1.821 5.735
O Os Ac Na
12 3 2 1
direct
0.290 0.290 0.855 O
0.456 0.854 0.854 O
0.290 0.855 0.290 O
0.146 0.146 0.544 O
0.145 0.710 0.710 O
0.710 0.145 0.710 O
0.146 0.544 0.146 O
0.854 0.854 0.456 O
0.854 0.456 0.854 O
0.710 0.710 0.145 O
0.544 0.146 0.146 O
0.855 0.290 0.290 O
0.500 0.000 0.000 Os
0.000 0.500 0.000 Os
0.000 0.000 0.500 Os
0.391 0.391 0.391 Ac
0.609 0.609 0.609 Ac
0.000 0.000 0.000 Na
```

E (Ha/atom): -0.2716
Space group: R-3m
E_form (uncorrected) (meV per atom): -1683

Number 1: DOS(E_F) 13.688 states/eV per cell. Number 2: DOS(E_F) 7.600 states/eV per cell.